Model one:
VASP calculation (PBE-GGA) on crystalline Eu2TmIn at its relaxed geometry.

## Properties
Volume in Å³/atom: 33.527
N(E_F) in states/eV/f.u.: 4.374

Geometry as extended XYZ:
```
4
Lattice="-2.902 0.657 -2.169 0.341 -0.252 -3.658 -3.724 -10.909 -1.450" Properties=species:S:1:pos:R:3 pbc="T T T"
In 0.000 0.000 0.000
Tm -3.142 -5.252 -3.638
Eu -1.523 -2.439 -1.828
Eu -4.762 -8.064 -5.449
```

---

Model two:
VASP calculation (PBE-GGA) on crystalline Eu2TmIn at its relaxed geometry.

## Properties
Volume in Å³/atom: 32.377
N(E_F) in states/eV/f.u.: 4.134

Geometry as extended XYZ:
```
4
Lattice="-0.442 3.763 -1.680 0.993 -1.543 -3.716 -7.275 -1.454 -1.341" Properties=species:S:1:pos:R:3 pbc="T T T"
Tm -3.362 0.383 -3.369
In 0.276 1.110 -2.698
Eu -5.565 -1.112 -1.026
Eu -1.710 -0.342 -0.315
```

---

Least stable structure among those shown: model one.